[1]
A plane-wave DFT calculation with PBE was carried out for a relaxed Th6MnTe5 crystal.

POSCAR file:
```
Th6MnTe5
1.0
3.940 -6.672 0.000
3.940 6.672 0.000
-2.559 0.000 7.114
Th Mn Te
6 1 5
direct
0.069 0.355 0.714
0.206 0.206 0.252
0.355 0.069 0.714
0.645 0.931 0.286
0.794 0.794 0.748
0.931 0.645 0.286
0.000 0.000 0.500
0.192 0.808 0.000
0.340 0.660 0.500
0.500 0.500 0.000
0.660 0.340 0.500
0.808 0.192 0.000
```

## Properties
raw formation energy = -903 meV per atom

=====

[2]
A plane-wave DFT calculation with PBE was carried out for a relaxed PmBe6 crystal.

POSCAR file:
```
PmBe6
1.0
7.698 0.000 0.000
0.000 4.421 0.000
0.000 0.000 9.631
Pm Be
4 24
direct
0.230 0.250 0.055
0.270 0.750 0.555
0.730 0.250 0.445
0.770 0.750 0.945
0.041 0.750 0.122
0.063 0.005 0.315
0.063 0.495 0.315
0.067 0.250 0.520
0.134 0.750 0.846
0.195 0.250 0.744
0.305 0.750 0.244
0.366 0.250 0.346
0.433 0.750 0.020
0.437 0.505 0.815
0.437 0.995 0.815
0.459 0.250 0.622
0.541 0.750 0.378
0.563 0.005 0.185
0.563 0.495 0.185
0.567 0.250 0.980
0.634 0.750 0.654
0.695 0.250 0.756
0.805 0.750 0.256
0.866 0.250 0.154
0.933 0.750 0.480
0.937 0.505 0.685
0.937 0.995 0.685
0.959 0.250 0.878
```

## Properties
calculated formation energy = 27 meV per atom

=====

[3]
A plane-wave DFT calculation with PBE was carried out for a relaxed LaDy12Th3 crystal.

POSCAR file:
```
LaDy12Th3
1.0
5.035 0.000 0.000
0.000 5.035 0.000
0.000 0.000 20.131
La Dy Th
1 12 3
direct
0.000 0.000 0.000
0.000 0.500 0.129
0.000 0.500 0.376
0.000 0.500 0.624
0.000 0.500 0.871
0.500 0.000 0.129
0.500 0.000 0.376
0.500 0.000 0.624
0.500 0.000 0.871
0.500 0.500 0.000
0.500 0.500 0.252
0.500 0.500 0.500
0.500 0.500 0.748
0.000 0.000 0.252
0.000 0.000 0.500
0.000 0.000 0.748
```

## Properties
calculated formation energy = 34 meV per atom

=====

[4]
A plane-wave DFT calculation with PBE was carried out for a relaxed Ga8AgAu2 crystal.

POSCAR file:
```
Ga8AgAu2
1.0
6.562 -3.363 0.000
6.562 3.363 0.000
-0.096 0.000 5.125
Ga Ag Au
8 1 2
direct
0.110 0.110 0.701
0.135 0.730 0.802
0.264 0.264 0.232
0.270 0.865 0.198
0.730 0.135 0.802
0.736 0.736 0.768
0.865 0.270 0.198
0.890 0.890 0.299
0.500 0.500 0.500
0.306 0.306 0.736
0.694 0.694 0.264
```

## Properties
calculated formation energy = -15 meV per atom

=====

[5]
A plane-wave DFT calculation with PBE was carried out for a relaxed NbNi2Au crystal.

POSCAR file:
```
NbNi2Au
1.0
3.233 0.000 0.000
0.000 3.233 0.000
0.000 0.000 5.589
Nb Ni Au
1 2 1
direct
0.000 0.000 0.000
0.500 0.500 0.232
0.500 0.500 0.768
0.000 0.000 0.500
```

## Properties
calculated formation energy = -100 meV per atom
polymorph energy (0 for the lowest one) = 0.0349 eV per atom

=====

[6]
A plane-wave DFT calculation with PBE was carried out for a relaxed YTlCr crystal.

POSCAR file:
```
YTlCr
1.0
4.875 0.000 0.000
-2.438 4.222 0.000
0.000 0.000 3.525
Y Tl Cr
1 1 1
direct
0.000 0.000 0.000
0.667 0.333 0.500
0.333 0.667 0.500
```

## Properties
calculated formation energy = 114 meV per atom
polymorph energy (0 for the lowest one) = 0.0000 eV per atom

=====

Values of energy, in order: -6.686; -3.846; -5.117; -3.072; -6.328; -6.037, all in eV/atom.